{
  "formula": "AcDyIrAu",
  "functional": "GGA-PBE",
  "state": "optimized geometry",
  "formation_energy_kj_per_mol_atoms": -61.8,
  "sg": "F-43m (216)",
  "magnetic_moment_mub_per_cell": 0.000,
  "lattice": [[0.000, 3.668, 3.668], [3.668, 0.000, 3.668], [3.668, 3.668, 0.000]],
  "species": ["Ac", "Dy", "Ir", "Au"],
  "fractional_positions": [[0.000, 0.000, 0.000], [0.500, 0.500, 0.500], [0.750, 0.750, 0.750], [0.250, 0.250, 0.250]]
}

=====

{
  "formula": "AcDy2MgAu4",
  "functional": "GGA-PBE",
  "state": "optimized geometry",
  "formation_energy_kj_per_mol_atoms": -74.6,
  "sg": "R-3m (166)",
  "magnetic_moment_mub_per_cell": 0.000,
  "lattice": [[2.512, 1.450, 8.941], [-2.512, 1.450, 8.941], [0.000, -2.900, 8.941]],
  "species": ["Ac", "Dy", "Dy", "Mg", "Au", "Au", "Au", "Au"],
  "fractional_positions": [[0.000, 0.000, 0.000], [0.235, 0.235, 0.235], [0.765, 0.765, 0.765], [0.500, 0.500, 0.500], [0.123, 0.123, 0.123], [0.396, 0.396, 0.396], [0.604, 0.604, 0.604], [0.877, 0.877, 0.877]]
}

=====

{
  "formula": "Ac2DyMgAu6",
  "functional": "GGA-PBE",
  "state": "optimized geometry",
  "formation_energy_kj_per_mol_atoms": -47.2,
  "sg": "C2/m (12)",
  "magnetic_moment_mub_per_cell": 0.000,
  "lattice": [[5.540, -3.202, 0.000], [5.540, 3.202, 0.000], [-3.680, 0.000, 8.211]],
  "species": ["Ac", "Ac", "Dy", "Mg", "Au", "Au", "Au", "Au", "Au", "Au"],
  "fractional_positions": [[0.208, 0.208, 0.123], [0.792, 0.792, 0.877], [0.000, 0.000, 0.500], [0.500, 0.500, 0.000], [0.245, 0.742, 0.230], [0.258, 0.755, 0.770], [0.259, 0.259, 0.767], [0.741, 0.741, 0.233], [0.742, 0.245, 0.230], [0.755, 0.258, 0.770]]
}

=====

{
  "formula": "AcDyMg2Au4",
  "functional": "GGA-PBE",
  "state": "optimized geometry",
  "formation_energy_kj_per_mol_atoms": -72.7,
  "sg": "R-3m (166)",
  "magnetic_moment_mub_per_cell": 0.000,
  "lattice": [[2.383, 1.376, 9.459], [-2.383, 1.376, 9.459], [0.000, -2.751, 9.459]],
  "species": ["Ac", "Dy", "Mg", "Mg", "Au", "Au", "Au", "Au"],
  "fractional_positions": [[0.000, 0.000, 0.000], [0.500, 0.500, 0.500], [0.240, 0.240, 0.240], [0.760, 0.760, 0.760], [0.118, 0.118, 0.118], [0.396, 0.396, 0.396], [0.604, 0.604, 0.604], [0.882, 0.882, 0.882]]
}

=====

{
  "formula": "AcDyMgAu",
  "functional": "GGA-PBE",
  "state": "optimized geometry",
  "formation_energy_kj_per_mol_atoms": -31.9,
  "sg": "F-43m (216)",
  "magnetic_moment_mub_per_cell": 0.000,
  "lattice": [[0.000, 3.850, 3.850], [3.850, 0.000, 3.850], [3.850, 3.850, 0.000]],
  "species": ["Ac", "Dy", "Mg", "Au"],
  "fractional_positions": [[0.000, 0.000, 0.000], [0.500, 0.500, 0.500], [0.750, 0.750, 0.750], [0.250, 0.250, 0.250]]
}

=====

{
  "formula": "AcDy3Au4O12",
  "functional": "GGA-PBE",
  "state": "optimized geometry",
  "e_form_raw_ev_per_atom": -1.49,
  "sg": "R32 (155)",
  "magnetic_moment_mub_per_cell": 1.860,
  "lattice": [[5.764, 3.328, 2.966], [-5.764, 3.328, 2.966], [0.000, -6.655, 2.966]],
  "species": ["Ac", "Dy", "Dy", "Dy", "Au", "Au", "Au", "Au", "O", "O", "O", "O", "O", "O", "O", "O", "O", "O", "O", "O"],
  "fractional_positions": [[0.000, 0.000, 0.000], [0.000, 0.560, 0.440], [0.440, 0.000, 0.560], [0.560, 0.440, 0.000], [0.081, 0.500, 0.919], [0.500, 0.500, 0.500], [0.500, 0.919, 0.081], [0.919, 0.081, 0.500], [0.008, 0.237, 0.331], [0.098, 0.902, 0.500], [0.237, 0.331, 0.008], [0.327, 0.673, 0.500], [0.331, 0.008, 0.237], [0.500, 0.098, 0.902], [0.500, 0.327, 0.673], [0.669, 0.763, 0.992], [0.673, 0.500, 0.327], [0.763, 0.992, 0.669], [0.902, 0.500, 0.098], [0.992, 0.669, 0.763]]
}

=====

{
  "formula": "AcDyAu2O8",
  "functional": "GGA-PBE",
  "state": "optimized geometry",
  "e_form_raw_ev_per_atom": -1.18,
  "sg": "I-4 (82)",
  "magnetic_moment_mub_per_cell": 1.479,
  "lattice": [[-2.825, 2.825, 5.323], [2.825, -2.825, 5.323], [2.825, 2.825, -5.323]],
  "species": ["Ac", "Dy", "Au", "Au", "O", "O", "O", "O", "O", "O", "O", "O"],
  "fractional_positions": [[0.000, 0.000, 0.000], [0.250, 0.750, 0.500], [0.500, 0.500, 0.000], [0.750, 0.250, 0.500], [0.035, 0.358, 0.959], [0.201, 0.476, 0.589], [0.388, 0.799, 0.275], [0.399, 0.076, 0.041], [0.524, 0.113, 0.725], [0.642, 0.601, 0.677], [0.887, 0.612, 0.411], [0.924, 0.965, 0.323]]
}

=====

{
  "formula": "Ac2DyAuO6",
  "functional": "GGA-PBE",
  "state": "optimized geometry",
  "e_form_raw_ev_per_atom": -2.39,
  "sg": "P4mm (99)",
  "magnetic_moment_mub_per_cell": 0.000,
  "lattice": [[5.526, 0.000, 0.000], [0.000, 5.526, 0.000], [0.000, 0.000, 5.863]],
  "species": ["Ac", "Ac", "Dy", "Au", "O", "O", "O", "O", "O", "O"],
  "fractional_positions": [[0.000, 0.500, 0.000], [0.500, 0.000, 0.000], [0.000, 0.000, 0.535], [0.500, 0.500, 0.666], [0.000, 0.000, 0.162], [0.245, 0.245, 0.715], [0.245, 0.755, 0.715], [0.500, 0.500, 0.127], [0.755, 0.245, 0.715], [0.755, 0.755, 0.715]]
}

=====

{
  "formula": "AcDySbAu",
  "functional": "GGA-PBE",
  "state": "optimized geometry",
  "e_form_raw_ev_per_atom": -0.73,
  "sg": "F-43m (216)",
  "magnetic_moment_mub_per_cell": 0.947,
  "lattice": [[0.000, 3.864, 3.864], [3.864, 0.000, 3.864], [3.864, 3.864, 0.000]],
  "species": ["Ac", "Dy", "Sb", "Au"],
  "fractional_positions": [[0.000, 0.000, 0.000], [0.500, 0.500, 0.500], [0.250, 0.250, 0.250], [0.750, 0.750, 0.750]]
}

=====

{
  "formula": "AcDySn2Au4",
  "functional": "GGA-PBE",
  "state": "optimized geometry",
  "formation_energy_kj_per_mol_atoms": -67.2,
  "sg": "R-3m (166)",
  "magnetic_moment_mub_per_cell": 0.000,
  "lattice": [[2.514, 1.451, 8.683], [-2.514, 1.451, 8.683], [0.000, -2.903, 8.683]],
  "species": ["Ac", "Dy", "Sn", "Sn", "Au", "Au", "Au", "Au"],
  "fractional_positions": [[0.000, 0.000, 0.000], [0.500, 0.500, 0.500], [0.247, 0.247, 0.247], [0.753, 0.753, 0.753], [0.133, 0.133, 0.133], [0.387, 0.387, 0.387], [0.613, 0.613, 0.613], [0.867, 0.867, 0.867]]
}

=====

{
  "formula": "Ac2DyTe5Au",
  "functional": "GGA-PBE",
  "state": "optimized geometry",
  "e_form_raw_ev_per_atom": -1.31,
  "sg": "Cmc2_1 (36)",
  "magnetic_moment_mub_per_cell": 0.000,
  "lattice": [[2.252, -9.815, 0.000], [2.252, 9.815, 0.000], [0.000, 0.000, 13.471]],
  "species": ["Ac", "Ac", "Ac", "Ac", "Dy", "Dy", "Te", "Te", "Te", "Te", "Te", "Te", "Te", "Te", "Te", "Te", "Au", "Au"],
  "fractional_positions": [[0.114, 0.886, 0.500], [0.124, 0.876, 0.121], [0.876, 0.124, 0.621], [0.886, 0.114, 0.000], [0.188, 0.812, 0.821], [0.812, 0.188, 0.321], [0.042, 0.958, 0.878], [0.289, 0.711, 0.478], [0.304, 0.696, 0.157], [0.351, 0.649, 0.813], [0.500, 0.500, 0.088], [0.500, 0.500, 0.588], [0.649, 0.351, 0.313], [0.696, 0.304, 0.657], [0.711, 0.289, 0.978], [0.958, 0.042, 0.378], [0.426, 0.574, 0.268], [0.574, 0.426, 0.768]]
}

=====

{
  "formula": "AcDyTlAu",
  "functional": "GGA-PBE",
  "state": "optimized geometry",
  "formation_energy_kj_per_mol_atoms": -47.7,
  "sg": "F-43m (216)",
  "magnetic_moment_mub_per_cell": 0.000,
  "lattice": [[0.000, 3.883, 3.883], [3.883, 0.000, 3.883], [3.883, 3.883, 0.000]],
  "species": ["Ac", "Dy", "Tl", "Au"],
  "fractional_positions": [[0.000, 0.000, 0.000], [0.500, 0.500, 0.500], [0.250, 0.250, 0.250], [0.750, 0.750, 0.750]]
}

=====

{
  "formula": "AcDyZn2Au2",
  "functional": "GGA-PBE",
  "state": "optimized geometry",
  "formation_energy_kj_per_mol_atoms": -64.0,
  "sg": "P-3m1 (164)",
  "magnetic_moment_mub_per_cell": 0.000,
  "lattice": [[4.650, 0.000, 0.000], [-2.325, 4.027, 0.000], [0.000, 0.000, 7.414]],
  "species": ["Ac", "Dy", "Zn", "Zn", "Au", "Au"],
  "fractional_positions": [[0.000, 0.000, 0.000], [0.000, 0.000, 0.500], [0.333, 0.667, 0.709], [0.667, 0.333, 0.291], [0.333, 0.667, 0.286], [0.667, 0.333, 0.714]]
}

=====

{
  "formula": "AcDyZn2Au5",
  "functional": "GGA-PBE",
  "state": "optimized geometry",
  "formation_energy_kj_per_mol_atoms": -47.6,
  "sg": "P4/mmm (123)",
  "magnetic_moment_mub_per_cell": 0.000,
  "lattice": [[4.688, 0.000, 0.000], [0.000, 4.688, 0.000], [0.000, 0.000, 9.001]],
  "species": ["Ac", "Dy", "Zn", "Zn", "Au", "Au", "Au", "Au", "Au"],
  "fractional_positions": [[0.000, 0.000, 0.000], [0.000, 0.000, 0.500], [0.500, 0.500, 0.366], [0.500, 0.500, 0.634], [0.000, 0.500, 0.252], [0.000, 0.500, 0.748], [0.500, 0.000, 0.252], [0.500, 0.000, 0.748], [0.500, 0.500, 0.000]]
}

=====

{
  "formula": "AcEr2Au",
  "functional": "GGA-PBE",
  "state": "optimized geometry",
  "formation_energy_kj_per_mol_atoms": -14.5,
  "relative_energy_ev_per_atom": 0.235,
  "sg": "P4/mmm (123)",
  "magnetic_moment_mub_per_cell": 0.000,
  "lattice": [[4.778, 0.000, 0.000], [0.000, 4.778, 0.000], [0.000, 0.000, 5.118]],
  "species": ["Ac", "Er", "Er", "Au"],
  "fractional_positions": [[0.000, 0.000, 0.000], [0.000, 0.500, 0.500], [0.500, 0.000, 0.500], [0.500, 0.500, 0.000]]
}

=====

{
  "formula": "AcEr2Au",
  "functional": "GGA-PBE",
  "state": "optimized geometry",
  "formation_energy_kj_per_mol_atoms": -37.1,
  "relative_energy_ev_per_atom": 0.000,
  "sg": "P4/mmm (123)",
  "magnetic_moment_mub_per_cell": 0.000,
  "lattice": [[3.667, 0.000, 0.000], [0.000, 3.667, 0.000], [0.000, 0.000, 8.838]],
  "species": ["Ac", "Er", "Er", "Au"],
  "fractional_positions": [[0.000, 0.000, 0.000], [0.500, 0.500, 0.310], [0.500, 0.500, 0.690], [0.000, 0.000, 0.500]]
}

=====

{
  "formula": "AcErAu",
  "functional": "GGA-PBE",
  "state": "optimized geometry",
  "formation_energy_kj_per_mol_atoms": -57.7,
  "relative_energy_ev_per_atom": 0.000,
  "sg": "P2_1/m (11)",
  "magnetic_moment_mub_per_cell": 0.002,
  "lattice": [[4.970, 0.000, 0.000], [0.000, 4.971, 0.000], [-0.012, 0.000, 7.537]],
  "species": ["Ac", "Ac", "Er", "Er", "Au", "Au"],
  "fractional_positions": [[0.250, 0.250, 0.122], [0.750, 0.750, 0.878], [0.250, 0.750, 0.500], [0.750, 0.250, 0.500], [0.251, 0.250, 0.709], [0.749, 0.750, 0.291]]
}

=====

{
  "formula": "AcEr2Au",
  "functional": "GGA-PBE",
  "state": "optimized geometry",
  "formation_energy_kj_per_mol_atoms": -28.3,
  "relative_energy_ev_per_atom": 0.091,
  "sg": "R-3m (166)",
  "magnetic_moment_mub_per_cell": 0.000,
  "lattice": [[1.938, 1.119, 9.956], [-1.938, 1.119, 9.956], [0.000, -2.238, 9.956]],
  "species": ["Ac", "Er", "Er", "Au"],
  "fractional_positions": [[0.000, 0.000, 0.000], [0.229, 0.229, 0.229], [0.771, 0.771, 0.771], [0.500, 0.500, 0.500]]
}

=====

{
  "formula": "AcErAu",
  "functional": "GGA-PBE",
  "state": "optimized geometry",
  "formation_energy_kj_per_mol_atoms": -40.9,
  "relative_energy_ev_per_atom": 0.174,
  "sg": "P3m1 (156)",
  "magnetic_moment_mub_per_cell": 0.000,
  "lattice": [[4.879, 0.000, 0.000], [-2.439, 4.225, 0.000], [0.000, 0.000, 4.643]],
  "species": ["Ac", "Er", "Au"],
  "fractional_positions": [[0.000, 0.000, 0.000], [0.667, 0.333, 0.500], [0.333, 0.667, 0.499]]
}

=====

{
  "formula": "Ac5ErAu6",
  "functional": "GGA-PBE",
  "state": "optimized geometry",
  "formation_energy_kj_per_mol_atoms": -74.2,
  "sg": "Immm (71)",
  "magnetic_moment_mub_per_cell": 0.000,
  "lattice": [[-2.723, 3.838, 8.232], [2.723, -3.838, 8.232], [2.723, 3.838, -8.232]],
  "species": ["Ac", "Ac", "Ac", "Ac", "Ac", "Er", "Au", "Au", "Au", "Au", "Au", "Au"],
  "fractional_positions": [[0.000, 0.000, 0.000], [0.167, 0.667, 0.500], [0.333, 0.333, 0.000], [0.667, 0.667, 0.000], [0.833, 0.333, 0.500], [0.500, 0.000, 0.500], [0.109, 0.844, 0.265], [0.275, 0.500, 0.775], [0.421, 0.156, 0.265], [0.579, 0.844, 0.735], [0.725, 0.500, 0.225], [0.891, 0.156, 0.735]]
}